The following is a DFT calculation (PBEsol) of a relaxed Li3Mn4O8 crystal.

polymorph energy (0 for the lowest one) = 23 meV per atom
crystal system = monoclinic
symmetry = No. 12

Lattice parameters (Å, degrees): 5.616 5.616 6.536 124.03 124.03 59.53
Fractional positions:
Li (0.000, 0.000, 0.000)
Li (0.231, 0.769, 0.500)
Li (0.769, 0.231, 0.500)
Mn (0.000, 0.500, 0.500)
Mn (0.295, 0.295, 0.035)
Mn (0.500, 0.000, 0.500)
Mn (0.705, 0.705, 0.965)
O (0.006, 0.523, 0.818)
O (0.079, 0.079, 0.358)
O (0.429, 0.429, 0.652)
O (0.477, 0.994, 0.182)
O (0.523, 0.006, 0.818)
O (0.571, 0.571, 0.348)
O (0.921, 0.921, 0.642)
O (0.994, 0.477, 0.182)

***

The following is a DFT calculation (PBEsol) of a relaxed RbEuSiS4 crystal.

VASP energy = -6.29 eV per atom
crystal system = orthorhombic
symmetry = No. 19

Lattice parameters (Å, degrees): 6.458 6.493 17.055 90.00 90.00 90.00
Fractional positions:
Rb (0.024, 0.006, 0.033)
Rb (0.476, 0.994, 0.533)
Rb (0.524, 0.494, 0.967)
Rb (0.976, 0.506, 0.467)
Eu (0.208, 0.025, 0.775)
Eu (0.292, 0.975, 0.275)
Eu (0.708, 0.475, 0.225)
Eu (0.792, 0.525, 0.725)
Si (0.207, 0.513, 0.162)
Si (0.293, 0.487, 0.662)
Si (0.707, 0.987, 0.838)
Si (0.793, 0.013, 0.338)
S (0.050, 0.012, 0.413)
S (0.073, 0.250, 0.638)
S (0.108, 0.756, 0.646)
S (0.117, 0.555, 0.280)
S (0.383, 0.445, 0.780)
S (0.392, 0.244, 0.146)
S (0.427, 0.750, 0.138)
S (0.450, 0.988, 0.913)
S (0.550, 0.488, 0.587)
S (0.573, 0.250, 0.362)
S (0.608, 0.744, 0.354)
S (0.617, 0.945, 0.720)
S (0.883, 0.055, 0.220)
S (0.892, 0.256, 0.854)
S (0.927, 0.750, 0.862)
S (0.950, 0.512, 0.087)

***

The following is a DFT calculation (PBEsol) of a relaxed BeTeOs3 crystal.

VASP energy = -7.84 eV per atom
crystal system = cubic
symmetry = No. 221

Lattice parameters (Å, degrees): 4.177 4.177 4.177 90.00 90.00 90.00
Fractional positions:
Be (0.000, 0.000, 0.000)
Te (0.500, 0.500, 0.500)
Os (0.000, 0.000, 0.500)
Os (0.000, 0.500, 0.000)
Os (0.500, 0.000, 0.000)

***

The following is a DFT calculation (PBEsol) of a relaxed Cs3NaW crystal.

VASP energy = -1.97 eV per atom
crystal system = cubic
symmetry = No. 221

Lattice parameters (Å, degrees): 7.161 7.161 7.161 90.00 90.00 90.00
Fractional positions:
Cs (0.000, 0.000, 0.500)
Cs (0.000, 0.500, 0.000)
Cs (0.500, 0.000, 0.000)
Na (0.000, 0.000, 0.000)
W (0.500, 0.500, 0.500)

***

The following is a DFT calculation (PBEsol) of a relaxed Ca2InH crystal.

VASP energy = -2.62 eV per atom
crystal system = cubic
symmetry = No. 225

Lattice parameters (Å, degrees): 7.321 7.321 7.321 90.00 90.00 90.00
Fractional positions:
Ca (0.250, 0.250, 0.250)
Ca (0.250, 0.250, 0.750)
Ca (0.250, 0.750, 0.250)
Ca (0.250, 0.750, 0.750)
Ca (0.750, 0.250, 0.250)
Ca (0.750, 0.250, 0.750)
Ca (0.750, 0.750, 0.250)
Ca (0.750, 0.750, 0.750)
In (0.000, 0.000, 0.000)
In (0.000, 0.500, 0.500)
In (0.500, 0.000, 0.500)
In (0.500, 0.500, 0.000)
H (0.000, 0.000, 0.500)
H (0.000, 0.500, 0.000)
H (0.500, 0.000, 0.000)
H (0.500, 0.500, 0.500)

***

The following is a DFT calculation (PBEsol) of a relaxed CaHgRh crystal.

VASP energy = -3.89 eV per atom
crystal system = hexagonal
symmetry = No. 187

Lattice parameters (Å, degrees): 4.652 4.652 3.305 90.00 90.00 120.00
Fractional positions:
Ca (0.000, 0.000, 0.000)
Hg (0.667, 0.333, 0.500)
Rh (0.333, 0.667, 0.500)

***

The following is a DFT calculation (PBEsol) of a relaxed LiCuRh2 crystal.

VASP energy = -5.62 eV per atom
crystal system = tetragonal
symmetry = No. 119

Lattice parameters (Å, degrees): 3.701 3.701 7.263 90.00 90.00 90.00
Fractional positions:
Li (0.000, 0.000, 0.000)
Li (0.500, 0.500, 0.500)
Cu (0.000, 0.500, 0.750)
Cu (0.500, 0.000, 0.250)
Rh (0.000, 0.000, 0.500)
Rh (0.000, 0.500, 0.250)
Rh (0.500, 0.000, 0.750)
Rh (0.500, 0.500, 0.000)

***

The following is a DFT calculation (PBEsol) of a relaxed LiRuO2F crystal.

VASP energy = -5.24 eV per atom
crystal system = tetragonal
symmetry = No. 123

Lattice parameters (Å, degrees): 3.634 3.634 3.226 90.00 90.00 90.00
Fractional positions:
Li (0.000, 0.000, 0.000)
Ru (0.500, 0.500, 0.500)
O (0.000, 0.500, 0.000)
O (0.500, 0.000, 0.000)
F (0.000, 0.000, 0.500)

***

> Number 2 is which compound?

RbEuSiS4